# CaAlTl, relaxed, DFT PBE
data_CaAlTl
_space_group_name_H-M_alt 'P 1 21 1'
_space_group_IT_number 4
_cell_length_a 4.1536
_cell_length_b 4.4872
_cell_length_c 8.9561
_cell_angle_alpha 90.00
_cell_angle_beta 103.26
_cell_angle_gamma 90.00
loop_
_space_group_symop_operation_xyz
'x,y,z'
'-x,y+1/2,-z'
loop_
_atom_site_label
_atom_site_type_symbol
_atom_site_fract_x
_atom_site_fract_y
_atom_site_fract_z
_atom_site_occupancy
Ca1 Ca 0.1007 0.0000 0.2040 1
Al1 Al 0.4610 0.0000 0.9199 1
Tl1 Tl 0.2935 0.0012 0.5828 1
# Calculated formation energy   -0.22 eV per atom



# Ca6AlTl5, relaxed, DFT PBE
data_Ca6AlTl5
_space_group_name_H-M_alt 'C m m m'
_space_group_IT_number 65
_space_group_name_Hall '-C 2 2'
_cell_length_a 5.4552
_cell_length_b 16.4307
_cell_length_c 7.7114
_cell_angle_alpha 90.00
_cell_angle_beta 90.00
_cell_angle_gamma 90.00
loop_
_atom_site_label
_atom_site_type_symbol
_atom_site_fract_x
_atom_site_fract_y
_atom_site_fract_z
_atom_site_occupancy
Ca1 Ca 0.0000 0.0000 0.2450 1
Ca2 Ca 0.0000 0.3355 0.2467 1
Al1 Al 0.0000 0.5000 0.0000 1
Tl1 Tl 0.0000 0.1657 0.0000 1
Tl2 Tl 0.0000 0.1673 0.5000 1
Tl3 Tl 0.0000 0.5000 0.5000 1
# Calculated formation energy   -0.39 eV per atom



# CaAlTl2, relaxed, DFT PBE
data_CaAlTl2
_space_group_name_H-M_alt 'P 1 2/m 1'
_space_group_IT_number 10
_cell_length_a 3.6459
_cell_length_b 4.9089
_cell_length_c 6.1286
_cell_angle_alpha 90.00
_cell_angle_beta 97.70
_cell_angle_gamma 90.00
loop_
_space_group_symop_operation_xyz
'x,y,z'
'-x,-y,-z'
'-x,y,-z'
'x,-y,z'
loop_
_atom_site_label
_atom_site_type_symbol
_atom_site_fract_x
_atom_site_fract_y
_atom_site_fract_z
_atom_site_occupancy
Ca1 Ca 0.0000 0.0000 0.0000 1
Al1 Al 0.5000 0.0000 0.5000 1
Tl1 Tl 0.3293 0.5000 0.7338 1
# Calculated formation energy   -0.08 eV per atom



# Ca2AlTl, relaxed, DFT PBE
data_Ca2AlTl
_space_group_name_H-M_alt 'R -3 m'
_space_group_IT_number 166
_space_group_name_Hall '-R 3 2"'
_cell_length_a 3.6942
_cell_length_b 3.6942
_cell_length_c 30.1556
_cell_angle_alpha 90.00
_cell_angle_beta 90.00
_cell_angle_gamma 120.00
loop_
_atom_site_label
_atom_site_type_symbol
_atom_site_fract_x
_atom_site_fract_y
_atom_site_fract_z
_atom_site_occupancy
Ca1 Ca 0.0000 0.0000 0.2474 1
Al1 Al 0.0000 0.0000 0.5000 1
Tl1 Tl 0.0000 0.0000 0.0000 1
# Energy relative to the lowest polymorph listed for this composition   174 meV/atom
# Calculated formation energy   -0.13 eV per atom



What is the formula in the first record? CaAlTl